Crystalline MgGa2Br at its relaxed geometry, computed with PBE.

Computed properties:
Its energy above the lowest structure with this stoichiometry is 0 meV/atom. As for the space-group type: I-42d. The formation energy (no corrections) is -0.030 eV per atom.

Unit cell a=6.5115 b=6.5115 c=6.5115 alpha=101.50 beta=101.50 gamma=126.96
Last column: nearest neighbours and their distance in Å.
Fractional coordinates of all 8 atoms:
Mg: 0.0000 0.0000 0.0000  4 Ga 2.88, 2 Br 2.91
Mg: 0.7500 0.2500 0.5000  4 Ga 2.88, 2 Br 2.91
Ga: 0.1022 0.6250 0.9772  2 Mg 2.88, 2 Ga 2.93, 2 Br 3.13
Ga: 0.3750 0.3522 0.4772  2 Mg 2.88, 2 Ga 2.93, 2 Br 3.13
Ga: 0.6478 0.1250 0.0228  2 Mg 2.88, 2 Ga 2.93, 2 Br 3.13
Ga: 0.8750 0.8978 0.5228  2 Mg 2.88, 2 Ga 2.93, 2 Br 3.13
Br: 0.2500 0.7500 0.5000  2 Mg 2.91, 4 Ga 3.13
Br: 0.5000 0.5000 0.0000  2 Mg 2.91, 4 Ga 3.13

=====

Crystalline Mg3TiZn at its relaxed geometry, computed with PBE.

Computed properties:
Its energy above the lowest structure with this stoichiometry is 0 meV/atom. The formation energy comes out at 0.5329 eV per atom. As for the space-group type: Pm-3m.

Unit cell a=4.8947 b=4.8947 c=4.8947 alpha=90.00 beta=90.00 gamma=90.00
Last column: nearest neighbours and their distance in Å.
Fractional coordinates of all 5 atoms:
Mg: 0.0000 0.0000 0.5000  2 Zn 2.45
Mg: 0.0000 0.5000 0.0000  2 Zn 2.45
Mg: 0.5000 0.0000 0.0000  2 Zn 2.45
Ti: 0.5000 0.5000 0.5000  12 Mg 3.46
Zn: 0.0000 0.0000 0.0000  6 Mg 2.45

=====

Crystalline SrAg2Hg at its relaxed geometry, computed with PBE.

Computed properties:
The formation energy comes out at -0.2840 eV per atom. As for the space-group type: P2_1/m.

Unit cell a=4.8269 b=7.4973 c=6.0998 alpha=90.00 beta=113.15 gamma=90.00
Last column: nearest neighbours and their distance in Å.
Fractional coordinates of all 8 atoms:
Sr: 0.0836 0.2500 0.1649  3 Hg 3.32-3.33, 10 Ag 3.38-3.63
Sr: 0.9164 0.7500 0.8351  3 Hg 3.32-3.33, 10 Ag 3.38-3.63
Ag: 0.3797 0.0611 0.7600  2 Ag 2.83-2.84, 3 Hg 2.98-2.99
Ag: 0.3797 0.4389 0.7600  2 Ag 2.83-2.84, 3 Hg 2.98-2.99
Ag: 0.6203 0.5611 0.2400  2 Ag 2.83-2.84, 3 Hg 2.98-2.99
Ag: 0.6203 0.9389 0.2400  2 Ag 2.83-2.84, 3 Hg 2.98-2.99
Hg: 0.2141 0.7500 0.4291  6 Ag 2.98-2.99, 3 Sr 3.32-3.33
Hg: 0.7859 0.2500 0.5709  6 Ag 2.98-2.99, 3 Sr 3.32-3.33

=====

Crystalline Al3InFe at its relaxed geometry, computed with PBE.

Computed properties:
Its energy above the lowest structure with this stoichiometry is 0 meV/atom. The formation energy comes out at 0.0636 eV per atom. As for the space-group type: Pm-3m.

Unit cell a=4.6079 b=4.6079 c=4.6079 alpha=90.00 beta=90.00 gamma=90.00
Last column: nearest neighbours and their distance in Å.
Fractional coordinates of all 5 atoms:
Al: 0.0000 0.0000 0.5000  2 Fe 2.30
Al: 0.0000 0.5000 0.0000  2 Fe 2.30
Al: 0.5000 0.0000 0.0000  2 Fe 2.30
In: 0.5000 0.5000 0.5000  12 Al 3.26
Fe: 0.0000 0.0000 0.0000  6 Al 2.30

=====

no.,calculated volume (A^3/atom)
1,24.67
2,23.45
3,25.37
4,19.57